First-principles (PBE-GGA) data for a geometry-optimized HoMn2C2 structure, as listed in Alexandria via LeMat-Bulk.

Cell lengths 5.195, 5.195, 5.419 Å; angles 110.00, 110.00, 106.62 degrees
Each line ends with the local moment (μB).
Positions (direct):
Ho 0.875 0.625 0.750  -0.02
Ho 0.125 0.375 0.250  -0.02
Mn 0.239 0.989 0.478  0.22
Mn 0.489 0.739 0.978  0.22
Mn 0.761 0.011 0.522  0.22
Mn 0.511 0.261 0.022  0.22
C 0.183 0.317 0.750  -0.02
C 0.433 0.067 0.250  -0.02
C 0.567 0.933 0.750  -0.02
C 0.817 0.683 0.250  -0.02

Calculated values
Fermi-level density of states (states/eV/cell): 8.1
E (hartree per atom): -0.315
ΔH_f (0 K) (eV per atom): -0.290

First-principles (PBE-GGA) data for a geometry-optimized Ca2YRe structure, as listed in Alexandria via LeMat-Bulk.

Cell lengths 6.071, 6.071, 3.145 Å; angles 90.00, 90.00, 119.24 degrees
Positions (direct):
Y 0.000 0.500 0.500
Re 0.500 0.000 0.500
Ca 0.000 0.000 0.000
Ca 0.500 0.500 0.000

Calculated values
Fermi-level density of states (states/eV/cell): 5.0
E (hartree per atom): -0.183
ΔH_f (0 K) (eV per atom): 0.747
Distance to the lowest polymorph of the same formula (eV/atom): 0.3608

First-principles (PBE-GGA) data for a geometry-optimized Tl3CrSe structure, as listed in Alexandria via LeMat-Bulk.

Cell lengths 5.369, 5.369, 5.369 Å; angles 90.00, 90.00, 90.00 degrees
Each line ends with the local moment (μB).
Positions (direct):
Cr 0.000 0.000 0.000  3.63
Tl 0.000 0.500 0.000  0.07
Tl 0.000 0.000 0.500  0.11
Tl 0.500 0.000 0.000  0.01
Se 0.500 0.500 0.500  0.29

Calculated values
Fermi-level density of states (states/eV/cell): 1.5
Raw formation energy (eV/atom): 0.376
E (hartree per atom): -0.135
Distance to the lowest polymorph of the same formula (eV/atom): 0.0000

First-principles (PBE-GGA) data for a geometry-optimized Sr5TbHg6 structure, as listed in Alexandria via LeMat-Bulk.

Cell lengths 5.570, 7.948, 8.816 Å; angles 90.00, 71.59, 90.00 degrees
Positions (direct):
Sr 0.668 0.500 0.664
Sr 0.332 0.000 0.335
Sr 0.000 0.500 0.000
Sr 0.668 0.000 0.665
Sr 0.332 0.500 0.336
Tb 0.000 0.000 0.000
Hg 0.841 0.760 0.318
Hg 0.841 0.240 0.318
Hg 0.500 0.232 0.000
Hg 0.500 0.768 0.000
Hg 0.159 0.760 0.682
Hg 0.159 0.240 0.682

Calculated values
Fermi-level density of states (states/eV/cell): 7.9
E (hartree per atom): -0.064
ΔH_f (0 K) (eV per atom): -0.513

First-principles (PBE-GGA) data for a geometry-optimized KLaRh2 structure, as listed in Alexandria via LeMat-Bulk.

Cell lengths 5.019, 5.019, 5.019 Å; angles 60.00, 60.00, 60.00 degrees
Positions (direct):
K 0.000 0.000 0.000
Rh 0.250 0.250 0.250
Rh 0.750 0.750 0.750
La 0.500 0.500 0.500

Calculated values
Fermi-level density of states (states/eV/cell): 1.8
E (hartree per atom): -0.185
ΔH_f (0 K) (eV per atom): 0.145
Distance to the lowest polymorph of the same formula (eV/atom): 0.2568

First-principles (PBE-GGA) data for a geometry-optimized TbPmGa2Rh2 structure, as listed in Alexandria via LeMat-Bulk.

Cell lengths 4.404, 4.404, 7.282 Å; angles 90.00, 90.00, 120.00 degrees
Positions (direct):
Tb 0.000 0.000 0.500
Pm 0.000 0.000 0.000
Ga 0.667 0.333 0.738
Ga 0.333 0.667 0.262
Rh 0.667 0.333 0.268
Rh 0.333 0.667 0.732

Calculated values
Fermi-level density of states (states/eV/cell): 5.1
E (hartree per atom): -0.214
ΔH_f (0 K) (eV per atom): -0.801